## CeAl4Cu2Ir (GGA-PBE)

Data for an optimized crystal structure of CeAl4Cu2Ir.

a = 4.200 Å, b = 4.200 Å, c = 9.299 Å
α = 76.95°, β = 76.95°, γ = 60.00°
Each line ends with the local moment (μB).
Sites, in units of the cell vectors:
Al1 0.132 0.132 0.603  0.00
Al2 0.406 0.406 0.783  0.00
Al3 0.868 0.868 0.397  0.00
Al4 0.594 0.594 0.217  0.00
Ir1 0.500 0.500 0.500  0.00
Cu1 0.762 0.762 0.713  0.00
Cu2 0.238 0.238 0.287  0.00
Ce1 0.000 0.000 0.000  0.56

Calculated values
**Formation energy**: -0.422 eV per atom
**Crystal system**: trigonal
**Total magnetization**: 0.65 μB per formula unit

=====

## PmMg3Ni8 (GGA-PBE)

Data for an optimized crystal structure of PmMg3Ni8.

a = 4.908 Å, b = 4.908 Å, c = 8.534 Å
α = 73.29°, β = 73.29°, γ = 60.00°
Sites, in units of the cell vectors:
Ni1 0.187 0.187 0.439
Ni2 0.440 0.440 0.179
Ni3 0.440 0.942 0.179
Ni4 0.938 0.432 0.693
Ni5 0.432 0.938 0.693
Ni6 0.938 0.938 0.693
Ni7 0.942 0.440 0.179
Ni8 0.688 0.688 0.936
Mg1 0.005 0.005 0.986
Mg2 0.492 0.492 0.524
Mg3 0.373 0.373 0.881
Pm1 0.876 0.876 0.371

Calculated values
**Formation energy**: -0.268 eV per atom
**Crystal system**: trigonal
**Total magnetization**: 0.02 μB per formula unit

=====

## TaMnReGe (GGA-PBE)

Data for an optimized crystal structure of TaMnReGe.

a = 4.352 Å, b = 4.352 Å, c = 4.352 Å
α = 60.00°, β = 60.00°, γ = 60.00°
Each line ends with the local moment (μB).
Sites, in units of the cell vectors:
Ge1 0.500 0.500 0.500  -0.01
Mn1 0.750 0.750 0.750  0.61
Ta1 0.000 0.000 0.000  -0.09
Re1 0.250 0.250 0.250  0.12

Calculated values
**Formation energy**: -0.065 eV per atom
**Crystal system**: cubic
**Total magnetization**: 0.61 μB per formula unit

=====

## Np2GaCu4Ge3 (GGA-PBE)

Data for an optimized crystal structure of Np2GaCu4Ge3.

a = 4.110 Å, b = 4.110 Å, c = 10.149 Å
α = 90.00°, β = 90.00°, γ = 90.00°
Each line ends with the local moment (μB).
Sites, in units of the cell vectors:
Np1 0.000 0.500 0.755  3.75
Np2 0.500 0.000 0.245  3.75
Ge1 0.000 0.000 0.500  -0.04
Ge2 0.500 0.000 0.865  -0.05
Ge3 0.000 0.500 0.135  -0.05
Cu1 0.000 0.000 0.000  -0.02
Cu2 0.500 0.000 0.633  0.01
Cu3 0.500 0.500 0.000  -0.02
Cu4 0.000 0.500 0.367  0.01
Ga1 0.500 0.500 0.500  -0.02

Calculated values
**Formation energy**: -0.156 eV per atom
**Crystal system**: tetragonal
**Total magnetization**: 7.63 μB per formula unit

=====

Q: Among the records above, which one has the highest formation energy?
A: TaMnReGe